Computed, not measured: a relaxed structure of TbHo2Tm6Sc at the PBE level of DFT.

## Properties
V = 604.0 Å³/cell
total energy = -4.566 eV per atom
E_form = 128 meV per atom
N(E_F) = 26.21 states/eV per cell
SG = C2/c

Lattice parameters (Å, degrees): 9.3165 8.5810 8.5810 117.40 93.83 93.83
Closest atoms and distances in Å follow each position.
Positions (direct):
Tb 0.2500 0.9774 0.0226  4 Ho 3.31-3.37, 4 Tm 3.49-3.58
Tb 0.7500 0.0226 0.9774  4 Ho 3.31-3.37, 4 Tm 3.49-3.58
Ho 0.4525 0.7999 0.6949  5 Tm 3.16-3.44, 2 Tb 3.31-3.37, 1 Sc 3.40
Ho 0.0475 0.3051 0.2001  5 Tm 3.16-3.44, 2 Tb 3.31-3.37, 1 Sc 3.40
Ho 0.5475 0.2001 0.3051  5 Tm 3.16-3.44, 2 Tb 3.31-3.37, 1 Sc 3.40
Ho 0.9525 0.6949 0.7999  5 Tm 3.16-3.44, 2 Tb 3.31-3.37, 1 Sc 3.40
Tm 0.0571 0.1277 0.7513  7 Tm 3.35-3.62, 1 Ho 3.44, 1 Tb 3.58, 1 Sc 3.75
Tm 0.4429 0.2487 0.8723  7 Tm 3.35-3.62, 1 Ho 3.44, 1 Tb 3.58, 1 Sc 3.75
Tm 0.9429 0.8723 0.2487  7 Tm 3.35-3.62, 1 Ho 3.44, 1 Tb 3.58, 1 Sc 3.75
Tm 0.5571 0.7513 0.1277  7 Tm 3.35-3.62, 1 Ho 3.44, 1 Tb 3.58, 1 Sc 3.75
Tm 0.3114 0.9902 0.4336  4 Tm 3.19-3.56, 2 Ho 3.31-3.56, 1 Sc 3.34, 1 Tb 3.49
Tm 0.1886 0.5664 0.0098  4 Tm 3.19-3.56, 2 Ho 3.31-3.56, 1 Sc 3.34, 1 Tb 3.49
Tm 0.6886 0.0098 0.5664  4 Tm 3.19-3.56, 2 Ho 3.31-3.56, 1 Sc 3.34, 1 Tb 3.49
Tm 0.8114 0.4336 0.9902  4 Tm 3.19-3.56, 2 Ho 3.31-3.56, 1 Sc 3.34, 1 Tb 3.49
Tm 0.1159 0.7080 0.4942  3 Ho 3.16-3.33, 4 Tm 3.19-3.41, 2 Sc 3.29-3.42
Tm 0.3841 0.5058 0.2920  3 Ho 3.16-3.33, 4 Tm 3.19-3.41, 2 Sc 3.29-3.42
Tm 0.8841 0.2920 0.5058  3 Ho 3.16-3.33, 4 Tm 3.19-3.41, 2 Sc 3.29-3.42
Tm 0.6159 0.4942 0.7080  3 Ho 3.16-3.33, 4 Tm 3.19-3.41, 2 Sc 3.29-3.42
Sc 0.2500 0.4121 0.5879  6 Tm 3.29-3.42, 2 Ho 3.40
Sc 0.7500 0.5879 0.4121  6 Tm 3.29-3.42, 2 Ho 3.40

Computed, not measured: a relaxed structure of TbHoTmSc at the PBE level of DFT.

## Properties
V = 117.0 Å³/cell
energy relative to the lowest polymorph listed for this composition = 0.0 kJ per mole of atoms
total energy = -4.960 eV per atom
E_form = 43 meV per atom
N(E_F) = 6.26 states/eV per cell
SG = I-4m2

Lattice parameters (Å, degrees): 4.9054 4.9081 5.9705 114.27 114.26 90.00
Closest atoms and distances in Å follow each position.
Positions (direct):
Tb 0.3698 0.8698 0.7395  4 Tm 3.45, 4 Ho 3.45, 4 Sc 3.47
Ho 0.1198 0.1198 0.2397  4 Sc 3.45, 4 Tb 3.45, 4 Tm 3.47
Tm 0.6197 0.6197 0.2395  4 Sc 3.45, 4 Tb 3.45, 4 Ho 3.47
Sc 0.8698 0.3698 0.7396  4 Tm 3.45, 4 Ho 3.45, 4 Tb 3.47

Computed, not measured: a relaxed structure of TbHo6Tm2Sc3 at the PBE level of DFT.

## Properties
V = 350.3 Å³/cell
total energy = -4.959 eV per atom
E_form = 43 meV per atom
N(E_F) = 17.99 states/eV per cell
SG = C2/m

Lattice parameters (Å, degrees): 6.0024 6.0024 11.3984 95.03 95.03 119.96
Closest atoms and distances in Å follow each position.
Positions (direct):
Tb 0.0000 0.0000 0.0000  6 Tm 3.47, 6 Ho 3.52
Ho 0.9139 0.5804 0.7419  3 Sc 3.37, 6 Ho 3.46-3.47, 2 Tm 3.52, 1 Tb 3.52
Ho 0.7526 0.7526 0.2581  3 Sc 3.37, 6 Ho 3.46-3.47, 2 Tm 3.52, 1 Tb 3.52
Ho 0.0861 0.4196 0.2581  3 Sc 3.37, 6 Ho 3.46-3.47, 2 Tm 3.52, 1 Tb 3.52
Ho 0.5804 0.9139 0.7419  3 Sc 3.37, 6 Ho 3.46-3.47, 2 Tm 3.52, 1 Tb 3.52
Ho 0.2474 0.2474 0.7419  3 Sc 3.37, 6 Ho 3.46-3.47, 2 Tm 3.52, 1 Tb 3.52
Ho 0.4196 0.0861 0.2581  3 Sc 3.37, 6 Ho 3.46-3.47, 2 Tm 3.52, 1 Tb 3.52
Tm 0.3334 0.6666 0.0000  3 Tm 3.46-3.47, 3 Tb 3.47, 6 Ho 3.52
Tm 0.6666 0.3334 0.0000  3 Tm 3.46-3.47, 3 Tb 3.47, 6 Ho 3.52
Sc 0.1668 0.8332 0.5000  6 Ho 3.37, 6 Sc 3.46-3.47
Sc 0.8332 0.1668 0.5000  6 Ho 3.37, 6 Sc 3.46-3.47
Sc 0.5000 0.5000 0.5000  6 Ho 3.37, 6 Sc 3.46-3.47